The following is a PBE calculation of crystalline LiPa2Ti3N6 at its relaxed geometry, from the Alexandria database.

Summary:
E_form (uncorrected): -1.5137 eV per atom
Theoretical density: 8.3 g cm⁻³

abc: 13.9501 3.1602 6.5179
angles: 90.00 105.10 90.00
Closest atoms and distances in Å follow each position.
Space group C2/m (No. 12)
One atom of each set of equivalent atoms:
Li 0.0000 0.0000 0.0000 x2  6 N 2.25-2.36
Pa 0.1609 0.5000 0.3172 x4  6 N 2.23-2.45
Ti 0.0000 0.0000 0.5000 x2  6 N 2.13-2.18
Ti 0.1532 0.5000 0.8203 x4  5 N 2.01-2.19
N 0.0038 0.5000 0.7332 x4  3 Ti 2.01-2.18, 1 Pa 2.23
N 0.1578 0.0000 0.6028 x4  3 Ti 2.13-2.14
N 0.1660 0.0000 0.0590 x4  3 Ti 2.19-2.44, 1 Li 2.25, 2 Pa 2.32


The following is a PBE calculation of crystalline Li2PaTiN4 at its relaxed geometry, from the Alexandria database.

Summary:
E_form (uncorrected): -0.7505 eV per atom
Theoretical density: 6.1 g cm⁻³

abc: 3.4271 12.1715 9.1008
angles: 90.00 90.00 90.00
Closest atoms and distances in Å follow each position.
Space group Cmcm (No. 63)
One atom of each set of equivalent atoms:
Li 0.0000 0.0882 0.0392 x8  4 N 1.87-2.05
Pa 0.0000 0.4330 0.2500 x4  6 N 2.39-2.42
Ti 0.0000 0.3012 0.7500 x4  4 N 1.90-2.01
N 0.0000 0.1121 0.2500 x4  2 Li 1.94, 2 Ti 2.01
N 0.0000 0.1724 0.6327 x8  1 Li 1.87, 1 Ti 1.90
N 0.0000 0.5000 0.0000 x4  4 Li 2.05


no.,DOS at the Fermi energy (states/eV/atom)
1,0.32
2,0.14